The following is a PBE calculation of crystalline LaEuTh2 at its relaxed geometry, from the Alexandria database.

Values from the calculation:
SG = No. 166
D(E_F) = 1.444 states/eV per atom
mass density = 8952 kg/m3
E above lowest polymorph = 82 meV per atom
energy relative to the elements = 237 meV per atom
V = 140.04 Å³/f.u.

abc: 3.5546 3.5546 12.9620
angles: 82.12 82.12 60.00
Positions (direct):
Eu: 0.0000 0.0000 0.0000
Th: 0.0887 0.0887 0.7340
Th: 0.9113 0.9113 0.2660
La: 0.5000 0.5000 0.5000

***

The following is a PBE calculation of crystalline La2EuTh at its relaxed geometry, from the Alexandria database.

Values from the calculation:
SG = No. 123
D(E_F) = 1.372 states/eV per atom
mass density = 7764 kg/m3
E above lowest polymorph = 91 meV per atom
energy relative to the elements = 118 meV per atom
V = 141.55 Å³/f.u.

abc: 5.1462 5.2446 5.2446
angles: 90.00 90.00 90.00
Positions (direct):
Eu: 0.5000 0.0000 0.0000
Th: 0.5000 0.5000 0.5000
La: 0.0000 0.0000 0.5000
La: 0.0000 0.5000 0.0000

***

The following is a PBE calculation of crystalline LaEuTh2 at its relaxed geometry, from the Alexandria database.

Values from the calculation:
SG = No. 123
D(E_F) = 1.645 states/eV per atom
mass density = 9225 kg/m3
E above lowest polymorph = 0 meV per atom
energy relative to the elements = 156 meV per atom
V = 135.89 Å³/f.u.

abc: 5.2871 5.0697 5.0697
angles: 90.00 90.00 90.00
Positions (direct):
Eu: 0.5000 0.0000 0.0000
Th: 0.0000 0.0000 0.5000
Th: 0.0000 0.5000 0.0000
La: 0.5000 0.5000 0.5000

***

The following is a PBE calculation of crystalline La2EuTh at its relaxed geometry, from the Alexandria database.

Values from the calculation:
SG = No. 225
D(E_F) = 2.606 states/eV per atom
mass density = 7545 kg/m3
E above lowest polymorph = 192 meV per atom
energy relative to the elements = 219 meV per atom
V = 145.65 Å³/f.u.

abc: 5.9057 5.9057 5.9057
angles: 60.00 60.00 60.00
Positions (direct):
Eu: 0.0000 0.0000 0.0000
Th: 0.5000 0.5000 0.5000
La: 0.2500 0.2500 0.2500
La: 0.7500 0.7500 0.7500

***

The following is a PBE calculation of crystalline La2EuTh at its relaxed geometry, from the Alexandria database.

Values from the calculation:
SG = No. 166
D(E_F) = 0.935 states/eV per atom
mass density = 7496 kg/m3
E above lowest polymorph = 65 meV per atom
energy relative to the elements = 92 meV per atom
V = 146.60 Å³/f.u.

abc: 3.6343 3.6343 12.9872
angles: 81.96 81.96 60.00
Positions (direct):
Eu: 0.0000 0.0000 0.0000
Th: 0.5000 0.5000 0.5000
La: 0.0921 0.0921 0.7238
La: 0.9079 0.9079 0.2762

***

The following is a PBE calculation of crystalline LaEuTmTh at its relaxed geometry, from the Alexandria database.

Values from the calculation:
SG = No. 216
D(E_F) = 1.610 states/eV per atom
mass density = 8369 kg/m3
energy relative to the elements = 187 meV per atom
V = 137.28 Å³/f.u.

abc: 5.7903 5.7903 5.7903
angles: 60.00 60.00 60.00
Positions (direct):
Eu: 0.2500 0.2500 0.2500
Tm: 0.7500 0.7500 0.7500
Th: 0.5000 0.5000 0.5000
La: 0.0000 0.0000 0.0000

***

The following is a PBE calculation of crystalline LaEuTl4 at its relaxed geometry, from the Alexandria database.

Values from the calculation:
SG = No. 216
D(E_F) = 0.869 states/eV per atom
mass density = 10164 kg/m3
energy relative to the elements = -222 meV per atom
V = 181.08 Å³/f.u.

abc: 6.3503 6.3503 6.3503
angles: 60.00 60.00 60.00
Positions (direct):
Eu: 0.2500 0.2500 0.2500
Tl: 0.6253 0.6253 0.1242
Tl: 0.6253 0.1242 0.6253
Tl: 0.6253 0.6253 0.6253
Tl: 0.1242 0.6253 0.6253
La: 0.0000 0.0000 0.0000

***

The following is a PBE calculation of crystalline LaEuTl at its relaxed geometry, from the Alexandria database.

Values from the calculation:
SG = No. 216
D(E_F) = 3.207 states/eV per atom
mass density = 7070 kg/m3
E above lowest polymorph = 107 meV per atom
energy relative to the elements = -141 meV per atom
V = 116.32 Å³/f.u.

abc: 5.4793 5.4793 5.4793
angles: 60.00 60.00 60.00
Positions (direct):
Eu: 0.0000 0.0000 0.0000
Tl: 0.2500 0.2500 0.2500
La: 0.5000 0.5000 0.5000

***

The following is a PBE calculation of crystalline LaEuTl at its relaxed geometry, from the Alexandria database.

Values from the calculation:
SG = No. 107
D(E_F) = 1.191 states/eV per atom
mass density = 7973 kg/m3
E above lowest polymorph = 0 meV per atom
energy relative to the elements = -248 meV per atom
V = 103.14 Å³/f.u.

abc: 3.9521 3.9521 7.1705
angles: 106.00 106.00 90.00
Positions (direct):
Eu: 0.5994 0.5994 0.1989
Tl: 0.9503 0.9503 0.9007
La: 0.3002 0.3002 0.6004

***

The following is a PBE calculation of crystalline LaEuTl at its relaxed geometry, from the Alexandria database.

Values from the calculation:
SG = No. 156
D(E_F) = 0.796 states/eV per atom
mass density = 8387 kg/m3
E above lowest polymorph = 39 meV per atom
energy relative to the elements = -210 meV per atom
V = 98.06 Å³/f.u.

abc: 3.8186 5.4454 5.4454
angles: 120.00 90.00 90.00
Positions (direct):
Eu: 0.9680 0.0000 0.0000
Tl: 0.6695 0.6667 0.3333
La: 0.3626 0.3333 0.6667

***

The following is a PBE calculation of crystalline LaEuTm at its relaxed geometry, from the Alexandria database.

Values from the calculation:
SG = No. 156
D(E_F) = 1.308 states/eV per atom
mass density = 7152 kg/m3
E above lowest polymorph = 0 meV per atom
energy relative to the elements = 54 meV per atom
V = 106.76 Å³/f.u.

abc: 3.6862 3.6862 9.0728
angles: 90.00 90.00 120.00
Positions (direct):
Eu: 0.0000 0.0000 0.0080
Tm: 0.6667 0.3333 0.3396
La: 0.3333 0.6667 0.6524

***

The following is a PBE calculation of crystalline La2EuTm at its relaxed geometry, from the Alexandria database.

Values from the calculation:
SG = No. 225
D(E_F) = 1.548 states/eV per atom
mass density = 6847 kg/m3
E above lowest polymorph = 28 meV per atom
energy relative to the elements = 107 meV per atom
V = 145.19 Å³/f.u.

abc: 5.8995 5.8995 5.8995
angles: 60.00 60.00 60.00
Positions (direct):
Eu: 0.5000 0.5000 0.5000
Tm: 0.0000 0.0000 0.0000
La: 0.2500 0.2500 0.2500
La: 0.7500 0.7500 0.7500